Material: HfMn2Pd2
Method: DFT, PBE-GGA
State: relaxed

Output
Polymorph energy (0 for the lowest one) (meV/atom): 114.9
Magnetic moment (μB/atom): 0.00
Energy of formation from the pure elements (eV/atom): -0.004
Space-group type: I4/mmm (139)

Unit cell a=7.4066 b=7.4066 c=7.4066 alpha=154.13 beta=154.13 gamma=36.90
Fractional positions:
Hf  0.0000  0.0000  0.0000
Mn  0.2500  0.7500  0.5000
Mn  0.7500  0.2500  0.5000
Pd  0.3993  0.3993  0.0000
Pd  0.6007  0.6007  0.0000

***

Material: TbSm12In6
Method: DFT, PBE-GGA
State: relaxed

Output
Magnetic moment (μB/atom): 0.00
Energy of formation from the pure elements (eV/atom): -0.229
Space-group type: R-3 (148)

Unit cell a=8.3037 b=8.3037 c=8.3037 alpha=89.00 beta=89.00 gamma=89.00
Fractional positions:
Tb  0.0000  0.0000  0.0000
Sm  0.0747  0.3834  0.1235
Sm  0.1235  0.0747  0.3834
Sm  0.1924  0.5648  0.4724
Sm  0.3834  0.1235  0.0747
Sm  0.4352  0.5276  0.8076
Sm  0.4724  0.1924  0.5648
Sm  0.5276  0.8076  0.4352
Sm  0.5648  0.4724  0.1924
Sm  0.6166  0.8765  0.9253
Sm  0.8076  0.4352  0.5276
Sm  0.8765  0.9253  0.6166
Sm  0.9253  0.6166  0.8765
In  0.1227  0.2742  0.7433
In  0.2567  0.8773  0.7258
In  0.2742  0.7433  0.1227
In  0.7258  0.2567  0.8773
In  0.7433  0.1227  0.2742
In  0.8773  0.7258  0.2567